No. 1
First-principles (PBE) data for a relaxed Dy3PaAs4 crystal, as listed in Alexandria.

```
data_Dy3PaAs4
_cell_length_a 5.8053
_cell_length_b 5.8053
_cell_length_c 11.6082
_cell_angle_alpha 90.00
_cell_angle_beta 90.00
_cell_angle_gamma 90.00
_space_group_name_H-M_alt 'I 4/m m m'
_space_group_IT_number 139
_space_group_name_Hall '-I 4 2'
loop_
_atom_site_label
_atom_site_type_symbol
_atom_site_fract_x
_atom_site_fract_y
_atom_site_fract_z
Dy1 Dy 0.0000 0.0000 0.0000
Dy2 Dy 0.0000 0.5000 0.2500
Pa1 Pa 0.0000 0.0000 0.5000
As1 As 0.0000 0.0000 0.2541
As2 As 0.0000 0.5000 0.0000
```

Values from the calculation:
ΔE to the lowest computed polymorph ... 0 meV/atom
ΔE_f ... -1.42 eV/atom

No. 2
First-principles (PBE) data for a relaxed ThMgSc14 crystal, as listed in Alexandria.

```
data_ThMgSc14
_cell_length_a 9.2106
_cell_length_b 9.2272
_cell_length_c 9.3349
_cell_angle_alpha 90.00
_cell_angle_beta 90.00
_cell_angle_gamma 90.00
_space_group_name_H-M_alt 'C m m m'
_space_group_IT_number 65
_space_group_name_Hall '-C 2 2'
loop_
_atom_site_label
_atom_site_type_symbol
_atom_site_fract_x
_atom_site_fract_y
_atom_site_fract_z
Th1 Th 0.0000 0.0000 0.0000
Mg1 Mg 0.0000 0.5000 0.0000
Sc1 Sc 0.0000 0.0000 0.5000
Sc2 Sc 0.0000 0.2469 0.2526
Sc3 Sc 0.0000 0.5000 0.5000
Sc4 Sc 0.2474 0.0000 0.2524
Sc5 Sc 0.2500 0.2500 0.0000
Sc6 Sc 0.2500 0.2500 0.5000
```

Values from the calculation:
ΔE_f ... 0.03 eV/atom

No. 3
First-principles (PBE) data for a relaxed Sn3RhC crystal, as listed in Alexandria.

```
data_Sn3RhC
_cell_length_a 4.6319
_cell_length_b 4.6319
_cell_length_c 4.6319
_cell_angle_alpha 90.00
_cell_angle_beta 90.00
_cell_angle_gamma 90.00
_space_group_name_H-M_alt 'P m -3 m'
_space_group_IT_number 221
_space_group_name_Hall '-P 4 2 3'
loop_
_atom_site_label
_atom_site_type_symbol
_atom_site_fract_x
_atom_site_fract_y
_atom_site_fract_z
Sn1 Sn 0.0000 0.0000 0.5000
Rh1 Rh 0.5000 0.5000 0.5000
C1 C 0.0000 0.0000 0.0000
```

Values from the calculation:
ΔE to the lowest computed polymorph ... 0 meV/atom
ΔE_f ... 0.88 eV/atom

Please write out number 1 again, unchanged.
First-principles (PBE) data for a relaxed Dy3PaAs4 crystal, as listed in Alexandria.

```
data_Dy3PaAs4
_cell_length_a 5.8053
_cell_length_b 5.8053
_cell_length_c 11.6082
_cell_angle_alpha 90.00
_cell_angle_beta 90.00
_cell_angle_gamma 90.00
_space_group_name_H-M_alt 'I 4/m m m'
_space_group_IT_number 139
_space_group_name_Hall '-I 4 2'
loop_
_atom_site_label
_atom_site_type_symbol
_atom_site_fract_x
_atom_site_fract_y
_atom_site_fract_z
Dy1 Dy 0.0000 0.0000 0.0000
Dy2 Dy 0.0000 0.5000 0.2500
Pa1 Pa 0.0000 0.0000 0.5000
As1 As 0.0000 0.0000 0.2541
As2 As 0.0000 0.5000 0.0000
```

Values from the calculation:
ΔE to the lowest computed polymorph ... 0 meV/atom
ΔE_f ... -1.42 eV/atom

Q: The highest ΔE_f belongs to which entry?
A: Sn3RhC

Q: Which of these has the highest ΔE_f?
A: Sn3RhC

Q: The highest ΔE_f belongs to which entry?
A: Sn3RhC